No. 1
Computed, not measured: a relaxed ReHg4Au crystal at the PBE-GGA level of DFT.

Cell: 5.7021 5.7021 5.7021 Å, 60.00 60.00 60.00°
Each line ends with the local moment (μB).
Fractional coordinates of all 6 atoms:
Re 0.7500 0.7500 0.7500  2.60
Hg 0.3751 0.8746 0.3751  -0.03
Hg 0.8746 0.3751 0.3751  -0.03
Hg 0.3751 0.3751 0.8746  -0.03
Hg 0.3751 0.3751 0.3751  -0.03
Au 0.0000 0.0000 0.0000  0.01

Calculated values
- E: -1.741 eV per atom
- Total magnetization: 2.9 Bohr magnetons per cell
- Space-group type: F-43m, No. 216
- Density: 15.02 g/cm³
- Crystal system: cubic
- Formation enthalpy at 0 K: 626 kJ/mol of formula units

***

No. 2
Computed, not measured: a relaxed CaZrBr crystal at the PBE-GGA level of DFT.

Cell: 4.8182 4.8182 4.8182 Å, 60.00 60.00 60.00°
Each line ends with the local moment (μB).
Fractional coordinates of all 3 atoms:
Ca 0.0000 0.0000 0.0000  0.06
Br 0.2500 0.2500 0.2500  -0.01
Zr 0.5000 0.5000 0.5000  0.57

Calculated values
- E: -3.875 eV per atom
- Total magnetization: 1.0 Bohr magnetons per cell
- Space-group type: F-43m, No. 216
- Density: 4.43 g/cm³
- Crystal system: cubic
- Energy above the most stable polymorph in this dataset: 0.657 eV per atom
- Formation energy without anion corrections: 0.20 eV per atom

***

No. 3
Computed, not measured: a relaxed Rb2PuPO6 crystal at the PBE-GGA level of DFT.

Cell: 5.6303 5.6303 6.4483 Å, 64.11 64.11 90.00°
Each line ends with the local moment (μB).
Fractional coordinates of all 10 atoms:
Rb 0.7501 0.2499 0.5000  0.00
Rb 0.2499 0.7501 0.5000  0.00
Pu 0.0000 0.0000 0.0000  3.35
P 0.5000 0.5000 0.0000  0.02
O 0.1855 0.1855 0.6292  -0.13
O 0.7046 0.7046 0.9998  -0.03
O 0.2955 0.7045 0.0000  -0.03
O 0.7045 0.2955 0.0000  -0.03
O 0.2954 0.2954 0.0002  -0.03
O 0.8145 0.8145 0.3708  -0.13

Calculated values
- E: -7.221 eV per atom
- Total magnetization: 3.0 Bohr magnetons per cell
- Space-group type: I4/mmm, No. 139
- Density: 5.60 g/cm³
- Crystal system: tetragonal
- Formation energy without anion corrections: -2.08 eV per atom

***

No. 4
Computed, not measured: a relaxed Li3DyPa3Se8 crystal at the PBE-GGA level of DFT.

Cell: 8.0933 8.0930 8.0883 Å, 120.03 90.00 120.00°
Each line ends with the local moment (μB).
Fractional coordinates of all 15 atoms:
Li 0.0000 0.0000 0.0000  0.00
Li 0.0000 0.5000 0.0000  0.00
Li 0.5000 0.5000 0.0000  0.00
Dy 0.0000 0.0000 0.5000  0.11
Pa 0.5000 0.0000 0.5000  1.30
Pa 0.5000 0.5000 0.5000  1.30
Pa 0.0000 0.5000 0.5000  1.30
Se 0.2452 0.4905 0.2358  -0.03
Se 0.7548 0.5095 0.7642  -0.03
Se 0.7491 0.4982 0.2455  -0.02
Se 0.2509 0.5018 0.7545  -0.02
Se 0.7491 0.9963 0.2455  -0.02
Se 0.2509 0.0037 0.7545  -0.02
Se 0.2471 0.9963 0.2455  -0.02
Se 0.7529 0.0037 0.7545  -0.02

Calculated values
- E: -5.831 eV per atom
- Total magnetization: 4.9 Bohr magnetons per cell
- Space-group type: R-3m, No. 166
- Density: 6.69 g/cm³
- Crystal system: trigonal
- Formation energy without anion corrections: -1.38 eV per atom

***

No. 5
Computed, not measured: a relaxed Ba3BeI crystal at the PBE-GGA level of DFT.

Cell: 6.3251 6.3251 6.3251 Å, 90.00 90.00 90.00°
Fractional coordinates of all 5 atoms:
I 0.5000 0.5000 0.5000
Be 0.0000 0.0000 0.0000
Ba 0.0000 0.5000 0.0000
Ba 0.0000 0.0000 0.5000
Ba 0.5000 0.0000 0.0000

Calculated values
- E: -2.281 eV per atom
- Total magnetization: 0.0 Bohr magnetons per cell
- Space-group type: Pm-3m, No. 221
- Density: 3.60 g/cm³
- Crystal system: cubic
- Energy above the most stable polymorph in this dataset: 0.000 eV per atom
- Formation energy without anion corrections: -0.07 eV per atom

***

No. 6
Computed, not measured: a relaxed Tc2Mo crystal at the PBE-GGA level of DFT.

Cell: 4.3994 4.3994 5.4299 Å, 90.00 90.00 120.00°
Fractional coordinates of all 6 atoms:
Tc 0.0000 0.0000 0.0000
Tc 0.0000 0.0000 0.5000
Tc 0.3333 0.6667 0.7500
Tc 0.6667 0.3333 0.2500
Mo 0.3333 0.6667 0.2500
Mo 0.6667 0.3333 0.7500

Calculated values
- E: -10.309 eV per atom
- Total magnetization: 0.0 Bohr magnetons per cell
- Space-group type: P6_3/mmc, No. 194
- Density: 10.65 g/cm³
- Crystal system: hexagonal
- Energy above the most stable polymorph in this dataset: 0.103 eV per atom
- Formation enthalpy at 0 K: 61 kJ/mol of formula units

***

No. 7
Computed, not measured: a relaxed BaGa2Ni2 crystal at the PBE-GGA level of DFT.

Cell: 4.3718 4.3718 6.0645 Å, 105.39 105.39 96.54°
Fractional coordinates of all 5 atoms:
Ba 0.0000 0.0000 0.0000
Ga 0.6345 0.6345 0.3378
Ga 0.3655 0.3655 0.6622
Ni 0.2101 0.7899 0.5000
Ni 0.7899 0.2101 0.5000

Calculated values
- E: -4.249 eV per atom
- Total magnetization: 0.0 Bohr magnetons per cell
- Space-group type: C2/m, No. 12
- Density: 6.20 g/cm³
- Crystal system: monoclinic
- Formation enthalpy at 0 K: -165 kJ/mol of formula units

***

No. 8
Computed, not measured: a relaxed Ac5Tb3Se8 crystal at the PBE-GGA level of DFT.

Cell: 8.5793 8.5793 8.7497 Å, 60.64 60.64 60.00°
Fractional coordinates of all 16 atoms:
Ac 0.5000 0.0000 0.0000
Ac 0.5000 0.5000 0.0000
Ac 0.0000 0.0000 0.0000
Ac 0.0000 0.5000 0.0000
Ac 0.5000 0.5000 0.5000
Tb 0.5000 0.0000 0.5000
Tb 0.0000 0.0000 0.5000
Tb 0.0000 0.5000 0.5000
Se 0.2502 0.2502 0.7298
Se 0.2502 0.7699 0.7298
Se 0.7699 0.2502 0.7298
Se 0.7593 0.7593 0.7220
Se 0.7498 0.7498 0.2702
Se 0.7498 0.2301 0.2702
Se 0.2301 0.7498 0.2702
Se 0.2407 0.2407 0.2780

Calculated values
- E: -5.701 eV per atom
- Total magnetization: 0.0 Bohr magnetons per cell
- Space-group type: R-3m, No. 166
- Density: 8.10 g/cm³
- Crystal system: trigonal
- Formation energy without anion corrections: -1.81 eV per atom

***

No. 9
Computed, not measured: a relaxed Y5UN6 crystal at the PBE-GGA level of DFT.

Cell: 5.9967 5.9994 5.9986 Å, 60.00 80.41 70.54°
Each line ends with the local moment (μB).
Fractional coordinates of all 12 atoms:
Y 0.5000 0.1678 0.6643  0.01
Y 0.0000 0.3335 0.3329  0.02
Y 0.5000 0.5000 0.0000  0.02
Y 0.0000 0.6665 0.6671  0.02
Y 0.5000 0.8322 0.3357  0.01
U 0.0000 0.0000 0.0000  0.70
N 0.7595 0.0803 0.3147  -0.02
N 0.2405 0.6051 0.3147  -0.02
N 0.2369 0.2344 0.0000  -0.01
N 0.7631 0.7656 0.0000  -0.01
N 0.7595 0.3949 0.6853  -0.02
N 0.2405 0.9197 0.6853  -0.02

Calculated values
- E: -9.465 eV per atom
- Total magnetization: 0.8 Bohr magnetons per cell
- Space-group type: C2/m, No. 12
- Density: 7.22 g/cm³
- Crystal system: monoclinic
- Formation energy without anion corrections: -1.67 eV per atom

***

No. 10
Computed, not measured: a relaxed Tb6Pm3Nd2 crystal at the PBE-GGA level of DFT.

Cell: 4.7909 4.7909 17.0678 Å, 98.07 98.07 90.00°
Fractional coordinates of all 11 atoms:
Tb 0.1211 0.6211 0.2422
Tb 0.6211 0.1211 0.2422
Tb 0.8789 0.3789 0.7578
Tb 0.3789 0.8789 0.7578
Tb 0.6947 0.6947 0.3894
Tb 0.3053 0.3053 0.6106
Pm 0.0000 0.0000 0.0000
Pm 0.7976 0.7976 0.5952
Pm 0.2024 0.2024 0.4048
Nd 0.4539 0.4539 0.9079
Nd 0.5461 0.5461 0.0921

Calculated values
- E: -4.431 eV per atom
- Total magnetization: 0.0 Bohr magnetons per cell
- Space-group type: I4/mmm, No. 139
- Density: 7.25 g/cm³
- Crystal system: tetragonal
- Energy above the most stable polymorph in this dataset: 0.074 eV per atom
- Formation enthalpy at 0 K: 273 kJ/mol of formula units

***

No. 11
Computed, not measured: a relaxed Tl3SnAs crystal at the PBE-GGA level of DFT.

Cell: 5.7485 5.7485 5.7485 Å, 90.00 90.00 90.00°
Each line ends with the local moment (μB).
Fractional coordinates of all 5 atoms:
As 0.5000 0.5000 0.5000  0.36
Tl 0.0000 0.5000 0.0000  -0.02
Tl 0.0000 0.0000 0.5000  0.00
Tl 0.5000 0.0000 0.0000  -0.02
Sn 0.0000 0.0000 0.0000  0.02

Calculated values
- E: -2.544 eV per atom
- Total magnetization: 0.7 Bohr magnetons per cell
- Space-group type: Pm-3m, No. 221
- Density: 7.05 g/cm³
- Crystal system: cubic
- Energy above the most stable polymorph in this dataset: 0.596 eV per atom
- Formation enthalpy at 0 K: 293 kJ/mol of formula units

***

No. 12
Computed, not measured: a relaxed Zr3CuH crystal at the PBE-GGA level of DFT.

Cell: 4.3660 4.3660 4.3660 Å, 90.00 90.00 90.00°
Fractional coordinates of all 5 atoms:
H 0.0000 0.0000 0.0000
Cu 0.5000 0.5000 0.5000
Zr 0.0000 0.5000 0.0000
Zr 0.0000 0.0000 0.5000
Zr 0.5000 0.0000 0.0000

Calculated values
- E: -6.737 eV per atom
- Total magnetization: 0.0 Bohr magnetons per cell
- Space-group type: Pm-3m, No. 221
- Density: 6.75 g/cm³
- Crystal system: cubic
- Energy above the most stable polymorph in this dataset: 0.000 eV per atom

***

No. 13
Computed, not measured: a relaxed Pm3SbS2 crystal at the PBE-GGA level of DFT.

Cell: 8.8781 7.9804 7.9804 Å, 55.17 56.20 56.20°
Fractional coordinates of all 12 atoms:
Pm 0.0000 0.7288 0.2712
Pm 0.0000 0.2712 0.7288
Pm 0.5000 0.7712 0.2288
Pm 0.5000 0.0000 0.5000
Pm 0.5000 0.5000 0.0000
Pm 0.5000 0.2288 0.7712
Sb 0.1868 0.2500 0.2500
Sb 0.8132 0.7500 0.7500
S 0.2644 0.9449 0.9449
S 0.3459 0.4449 0.4449
S 0.6541 0.5551 0.5551
S 0.7356 0.0551 0.0551

Calculated values
- E: -5.774 eV per atom
- Total magnetization: 0.0 Bohr magnetons per cell
- Space-group type: Imma, No. 74
- Density: 5.71 g/cm³
- Crystal system: orthorhombic
- Energy above the most stable polymorph in this dataset: 0.000 eV per atom
- Formation energy without anion corrections: -1.34 eV per atom

***

No. 14
Computed, not measured: a relaxed YBe2CuPt5 crystal at the PBE-GGA level of DFT.

Cell: 4.3621 4.3621 7.1085 Å, 90.00 90.00 90.00°
Fractional coordinates of all 9 atoms:
Y 0.0000 0.0000 0.5000
Be 0.5000 0.5000 0.1582
Be 0.5000 0.5000 0.8418
Cu 0.0000 0.0000 0.0000
Pt 0.0000 0.5000 0.2153
Pt 0.5000 0.0000 0.2153
Pt 0.0000 0.5000 0.7847
Pt 0.5000 0.0000 0.7847
Pt 0.5000 0.5000 0.5000

Calculated values
- E: -5.934 eV per atom
- Total magnetization: 0.0 Bohr magnetons per cell
- Space-group type: P4/mmm, No. 123
- Density: 14.07 g/cm³
- Crystal system: tetragonal
- Formation enthalpy at 0 K: -501 kJ/mol of formula units

***

No. 15
Computed, not measured: a relaxed Ba3LaIr2O9 crystal at the PBE-GGA level of DFT.

Cell: 6.0250 6.0250 15.0900 Å, 89.05 89.05 119.72°
Fractional coordinates of all 30 atoms:
Ba 0.6728 0.3413 0.4022
Ba 0.6587 0.3272 0.0978
Ba 0.3413 0.6728 0.9022
Ba 0.0045 0.9955 0.2500
Ba 0.9955 0.0045 0.7500
Ba 0.3272 0.6587 0.5978
La 0.0000 0.0000 0.0000
La 0.0000 0.0000 0.5000
Ir 0.3187 0.6501 0.1668
Ir 0.3499 0.6813 0.3332
Ir 0.6813 0.3499 0.8332
Ir 0.6501 0.3187 0.6668
O 0.1462 0.7922 0.0940
O 0.2078 0.8538 0.4060
O 0.0231 0.5056 0.2605
O 0.5056 0.0231 0.7605
O 0.8538 0.2078 0.9060
O 0.7893 0.6050 0.5787
O 0.6050 0.7893 0.0787
O 0.1474 0.3291 0.1011
O 0.3950 0.2107 0.9213
O 0.6709 0.8526 0.3989
O 0.4944 0.9769 0.2395
O 0.5078 0.4922 0.7500
O 0.8526 0.6709 0.8989
O 0.3291 0.1474 0.6011
O 0.7922 0.1462 0.5940
O 0.4922 0.5078 0.2500
O 0.9769 0.4944 0.7395
O 0.2107 0.3950 0.4213

Calculated values
- E: -6.939 eV per atom
- Total magnetization: 0.0 Bohr magnetons per cell
- Space-group type: C2/c, No. 15
- Density: 7.54 g/cm³
- Crystal system: monoclinic
- Formation energy without anion corrections: -2.07 eV per atom

***

No. 16
Computed, not measured: a relaxed KMgCd2In2 crystal at the PBE-GGA level of DFT.

Cell: 5.0011 5.0011 8.2713 Å, 90.00 90.00 120.00°
Fractional coordinates of all 6 atoms:
K 0.0000 0.0000 0.0000
Mg 0.0000 0.0000 0.5000
Cd 0.6667 0.3333 0.3140
Cd 0.3333 0.6667 0.6860
In 0.6667 0.3333 0.6951
In 0.3333 0.6667 0.3049

Calculated values
- E: -1.743 eV per atom
- Total magnetization: 0.0 Bohr magnetons per cell
- Space-group type: P-3m1, No. 164
- Density: 4.80 g/cm³
- Crystal system: trigonal
- Formation enthalpy at 0 K: -44 kJ/mol of formula units

***

No. 17
Computed, not measured: a relaxed TcMoPt2 crystal at the PBE-GGA level of DFT.

Cell: 3.3181 3.3181 5.6505 Å, 90.00 90.00 90.00°
Fractional coordinates of all 4 atoms:
Mo 0.5000 0.5000 0.7460
Pt 0.0000 0.0000 0.0005
Pt 0.5000 0.5000 0.2499
Tc 0.0000 0.0000 0.5035

Calculated values
- E: -8.358 eV per atom
- Total magnetization: 0.0 Bohr magnetons per cell
- Space-group type: P4mm, No. 99
- Density: 15.59 g/cm³
- Crystal system: tetragonal
- Energy above the most stable polymorph in this dataset: 0.217 eV per atom
- Formation enthalpy at 0 K: -15 kJ/mol of formula units